1.
{"formula": "LuSiNiPd", "functional": "GGA-PBE", "state": "optimized geometry", "final_energy_ev_per_atom": -5.80, "lattice_angstrom": [[0.000, 3.147, 3.147], [3.147, 0.000, 3.147], [3.147, 3.147, 0.000]], "species": ["Pd", "Lu", "Si", "Ni"], "fractional_positions": [[0.250, 0.250, 0.250], [0.500, 0.500, 0.500], [0.000, 0.000, 0.000], [0.750, 0.750, 0.750]]}

***

2.
{"formula": "Ag2GeSe3", "functional": "GGA-PBE", "state": "optimized geometry", "final_energy_ev_per_atom": -3.66, "lattice_angstrom": [[3.597, -6.457, 0.000], [3.597, 6.457, 0.000], [-2.079, 0.000, 6.873]], "species": ["Ag", "Se", "Ag", "Ge", "Se", "Se", "Se", "Ag", "Ag", "Ge", "Se", "Se"], "fractional_positions": [[0.222, 0.742, 0.986], [0.634, 0.099, 0.103], [0.384, 0.564, 0.486], [0.089, 0.926, 0.511], [0.800, 0.943, 0.643], [0.437, 0.266, 0.599], [0.943, 0.800, 0.143], [0.742, 0.222, 0.486], [0.564, 0.384, 0.986], [0.926, 0.089, 0.011], [0.099, 0.634, 0.603], [0.266, 0.437, 0.099]]}

***

3.
{"formula": "BaZn2", "functional": "GGA-PBE", "state": "optimized geometry", "final_energy_ev_per_atom": -1.56, "lattice_angstrom": [[-11.302, -10.422, -3.328], [1.839, -0.924, -3.352], [2.577, -3.559, 2.396]], "species": ["Ba", "Zn", "Zn", "Zn", "Zn", "Zn", "Zn", "Zn", "Ba", "Ba", "Zn", "Ba"], "fractional_positions": [[0.639, 0.500, 0.500], [0.580, 0.000, 0.000], [0.468, 0.000, 0.500], [0.365, 0.500, 0.500], [0.977, 0.000, 0.000], [0.476, 0.500, 0.000], [0.865, 0.000, 0.500], [0.968, 0.500, 0.500], [0.139, 0.000, 0.500], [0.806, 0.500, 0.000], [0.080, 0.500, 0.000], [0.305, 0.000, 0.000]]}

***

4.
{"formula": "W4Au2CN", "functional": "GGA-PBE", "state": "optimized geometry", "final_energy_ev_per_atom": -9.25, "lattice_angstrom": [[3.155, 0.000, 0.000], [-1.578, 2.732, 0.000], [0.000, 0.000, 13.234]], "species": ["Au", "W", "W", "W", "W", "N", "C", "Au"], "fractional_positions": [[0.667, 0.333, 0.253], [0.667, 0.333, 0.580], [0.333, 0.667, 0.420], [0.333, 0.667, 0.083], [0.667, 0.333, 0.917], [0.000, 0.000, 0.500], [0.000, 0.000, 0.000], [0.333, 0.667, 0.747]]}